A relaxed SrFe2OsC crystal. Source: Alexandria, functional GGA-PBE.

Results
ρ: 6.0 Mg/m³
ΔH_f (0 K): 3963 meV per atom

```
SrFe2OsC
1.0
4.746 0.000 0.000
0.000 4.960 0.000
0.000 0.000 4.746
Sr C Fe Os
1 1 2 1
Direct
0.000 0.000 0.000
0.500 0.500 0.500
0.500 0.000 0.000
0.000 0.000 0.500
0.000 0.500 0.000
```